(A)
DFT (GGA+U) results for a relaxed CoS2ClO crystal.

It has space group P4/mmm (No. 123), with a = 4.454 Å, b = 4.454 Å, c = 4.658 Å, α = 90.00°, β = 90.00° and γ = 90.00°. The distinct sites, in fractional coordinates, are Co at (0.000, 0.000, 0.000), S at (0.000, 0.500, 0.000), Cl at (0.000, 0.000, 0.500) and O at (0.500, 0.500, 0.500).

The value obtained for the size of the total moment is 3.283 μB/cell.

(B)
DFT (GGA+U) results for a relaxed CoS2ClO crystal.

It has space group P4/mmm (No. 123), with a = 4.205 Å, b = 4.205 Å, c = 4.550 Å, α = 90.00°, β = 90.00° and γ = 90.00°. The distinct sites, in fractional coordinates, are Co at (0.000, 0.000, 0.000), S at (0.000, 0.500, 0.500), Cl at (0.500, 0.500, 0.000) and O at (0.500, 0.500, 0.500).

The value obtained for the size of the total moment is 3.101 μB/cell.

In terms of stability, (B) leads; the second structure lies 17.1 kJ/mol of atoms higher.